Below is crystalline YErMnGa at its relaxed geometry, with properties calculated at the PBE-GGA level. Values from VASP.

Its space-group type is F-43m, No. 216. The value obtained for the volume is 22.4 Å³ per atom. The calculation puts the formation energy at -0.171 eV/atom.

The structure in Quantum ESPRESSO input format:
```
&SYSTEM
  ibrav = 0, nat = 4, ntyp = 4
/
ATOMIC_SPECIES
Y 88.91 Y.upf
Ga 69.72 Ga.upf
Mn 54.94 Mn.upf
Er 167.26 Er.upf
CELL_PARAMETERS angstrom
-0.6029 -4.9721 0.4222
0.7123 -2.2501 4.4377
-3.9241 -1.8491 2.5387
ATOMIC_POSITIONS crystal
Y 0.2500 0.2500 0.2500
Ga 0.0000 0.0000 0.0000
Mn 0.5000 0.5000 0.5000
Er 0.7500 0.7500 0.7500
```